Entry 1:
# GGA-PBE La3NdSm2, relaxed
data_La3NdSm2
_cell_length_a 9.061
_cell_length_b 7.378
_cell_length_c 7.378
_cell_angle_alpha 120.00
_cell_angle_beta 90.00
_cell_angle_gamma 90.00
_space_group_name_H-M_alt 'P 1'
_space_group_IT_number 1
loop_
_space_group_symop_operation_xyz
'x,y,z'
loop_
_atom_site_label
_atom_site_fract_x
_atom_site_fract_y
_atom_site_fract_z
La1 0.670 0.332 0.166
La2 0.670 0.834 0.668
La3 0.670 0.834 0.166
La4 0.330 0.166 0.834
La5 0.330 0.668 0.834
La6 0.330 0.166 0.332
Nd1 0.330 0.667 0.333
Nd2 0.670 0.333 0.667
Sm1 0.000 0.000 0.000
Sm2 0.000 0.500 0.500
Sm3 0.000 0.500 0.000
Sm4 0.000 0.000 0.500
# SG = P-3m1, No. 164
# N(E_F) = 1.613 states/eV/atom
# calculated formation energy = 0.015 eV/atom
# theoretical density = 6.700 g cm⁻³
# magnetization = 0.00 μB per formula unit


Entry 2:
# GGA-PBE LaNd3Sm7, relaxed
data_LaNd3Sm7
_cell_length_a 6.512
_cell_length_b 7.838
_cell_length_c 7.838
_cell_angle_alpha 81.27
_cell_angle_beta 85.87
_cell_angle_gamma 85.87
_space_group_name_H-M_alt 'P 1'
_space_group_IT_number 1
loop_
_space_group_symop_operation_xyz
'x,y,z'
loop_
_atom_site_label
_atom_site_fract_x
_atom_site_fract_y
_atom_site_fract_z
La1 0.500 0.500 0.500
Nd1 0.000 0.826 0.174
Nd2 0.500 0.000 0.000
Nd3 0.000 0.174 0.826
Sm1 0.791 0.237 0.237
Sm2 0.740 0.921 0.574
Sm3 0.260 0.426 0.079
Sm4 0.740 0.574 0.921
Sm5 0.000 0.500 0.500
Sm6 0.260 0.079 0.426
Sm7 0.209 0.763 0.763
# SG = C2/m, No. 12
# N(E_F) = 1.390 states/eV/atom
# calculated formation energy = 0.203 eV/atom
# theoretical density = 6.851 g cm⁻³
# magnetization = 0.00 μB per formula unit


Entry 3:
# GGA-PBE LaNd4Sm5, relaxed
data_LaNd4Sm5
_cell_length_a 3.512
_cell_length_b 6.949
_cell_length_c 14.583
_cell_angle_alpha 97.24
_cell_angle_beta 96.92
_cell_angle_gamma 90.00
_space_group_name_H-M_alt 'P 1'
_space_group_IT_number 1
loop_
_space_group_symop_operation_xyz
'x,y,z'
loop_
_atom_site_label
_atom_site_fract_x
_atom_site_fract_y
_atom_site_fract_z
La1 0.500 0.000 0.000
Nd1 0.609 0.804 0.217
Nd2 0.905 0.695 0.809
Nd3 0.391 0.196 0.783
Nd4 0.095 0.305 0.191
Sm1 0.203 0.602 0.406
Sm2 0.206 0.102 0.413
Sm3 0.794 0.898 0.587
Sm4 0.500 0.500 0.000
Sm5 0.797 0.398 0.594
# SG = C2/m, No. 12
# N(E_F) = 1.722 states/eV/atom
# calculated formation energy = 0.131 eV/atom
# theoretical density = 6.954 g cm⁻³
# magnetization = 0.00 μB per formula unit


Entry 4:
# GGA-PBE La12Nd6Sm, relaxed
data_La12Nd6Sm
_cell_length_a 9.528
_cell_length_b 9.528
_cell_length_c 9.528
_cell_angle_alpha 108.41
_cell_angle_beta 108.41
_cell_angle_gamma 108.41
_space_group_name_H-M_alt 'P 1'
_space_group_IT_number 1
loop_
_space_group_symop_operation_xyz
'x,y,z'
loop_
_atom_site_label
_atom_site_fract_x
_atom_site_fract_y
_atom_site_fract_z
La1 0.784 0.216 0.500
La2 0.391 0.150 0.391
La3 0.391 0.391 0.150
La4 0.850 0.609 0.609
La5 0.609 0.609 0.850
La6 0.609 0.850 0.609
La7 0.500 0.784 0.216
La8 0.216 0.500 0.784
La9 0.216 0.784 0.500
La10 0.500 0.216 0.784
La11 0.784 0.500 0.216
La12 0.150 0.391 0.391
Nd1 0.069 0.695 0.069
Nd2 0.069 0.069 0.695
Nd3 0.695 0.069 0.069
Nd4 0.931 0.931 0.305
Nd5 0.931 0.305 0.931
Nd6 0.305 0.931 0.931
Sm1 0.000 0.000 0.000
# SG = R-3m, No. 166
# N(E_F) = 1.671 states/eV/atom
# calculated formation energy = 0.162 eV/atom
# theoretical density = 6.448 g cm⁻³
# magnetization = 0.00 μB per formula unit


Entry 5:
# GGA-PBE LaNd4Sm2, relaxed
data_LaNd4Sm2
_cell_length_a 4.668
_cell_length_b 4.668
_cell_length_c 12.059
_cell_angle_alpha 101.16
_cell_angle_beta 101.16
_cell_angle_gamma 90.00
_space_group_name_H-M_alt 'P 1'
_space_group_IT_number 1
loop_
_space_group_symop_operation_xyz
'x,y,z'
loop_
_atom_site_label
_atom_site_fract_x
_atom_site_fract_y
_atom_site_fract_z
La1 0.000 0.000 0.000
Nd1 0.138 0.138 0.277
Nd2 0.862 0.862 0.723
Nd3 0.750 0.250 0.500
Nd4 0.250 0.750 0.500
Sm1 0.600 0.600 0.199
Sm2 0.400 0.400 0.801
# SG = I4/mmm, No. 139
# N(E_F) = 1.405 states/eV/atom
# calculated formation energy = 0.229 eV/atom
# theoretical density = 6.679 g cm⁻³
# magnetization = 0.00 μB per formula unit


Entry 6:
# GGA-PBE LaNdSm2, relaxed
data_LaNdSm2
_cell_length_a 3.682
_cell_length_b 3.682
_cell_length_c 12.152
_cell_angle_alpha 81.29
_cell_angle_beta 81.29
_cell_angle_gamma 60.00
_space_group_name_H-M_alt 'P 1'
_space_group_IT_number 1
loop_
_space_group_symop_operation_xyz
'x,y,z'
loop_
_atom_site_label
_atom_site_fract_x
_atom_site_fract_y
_atom_site_fract_z
La1 0.500 0.500 0.499
Nd1 0.667 0.667 0.000
Sm1 0.082 0.082 0.754
Sm2 0.251 0.251 0.246
# SG = R3m, No. 160
# N(E_F) = 1.550 states/eV/atom
# calculated formation energy = 0.019 eV/atom
# theoretical density = 6.902 g cm⁻³
# magnetization = 0.00 μB per formula unit


Entry 7:
# GGA-PBE La2Nd9Sm3, relaxed
data_La2Nd9Sm3
_cell_length_a 9.289
_cell_length_b 9.289
_cell_length_c 13.718
_cell_angle_alpha 90.00
_cell_angle_beta 90.00
_cell_angle_gamma 120.00
_space_group_name_H-M_alt 'P 1'
_space_group_IT_number 1
loop_
_space_group_symop_operation_xyz
'x,y,z'
loop_
_atom_site_label
_atom_site_fract_x
_atom_site_fract_y
_atom_site_fract_z
La1 0.667 0.333 0.636
La2 0.667 0.333 0.864
La3 0.333 0.667 0.136
La4 0.333 0.667 0.364
Nd1 0.519 0.602 0.750
Nd2 0.723 0.598 0.461
Nd3 0.723 0.598 0.039
Nd4 0.398 0.917 0.750
Nd5 0.875 0.277 0.039
Nd6 0.875 0.277 0.461
Nd7 0.402 0.125 0.039
Nd8 0.402 0.125 0.461
Nd9 0.917 0.519 0.250
Nd10 0.083 0.481 0.750
Nd11 0.598 0.875 0.961
Nd12 0.598 0.875 0.539
Nd13 0.125 0.723 0.539
Nd14 0.125 0.723 0.961
Nd15 0.602 0.083 0.250
Nd16 0.277 0.402 0.539
Nd17 0.277 0.402 0.961
Nd18 0.481 0.398 0.250
Sm1 0.752 0.832 0.250
Sm2 0.168 0.920 0.250
Sm3 0.080 0.248 0.250
Sm4 0.920 0.752 0.750
Sm5 0.832 0.080 0.750
Sm6 0.248 0.168 0.750
# SG = P6_3/m, No. 176
# N(E_F) = 1.384 states/eV/atom
# calculated formation energy = 0.234 eV/atom
# theoretical density = 6.567 g cm⁻³
# magnetization = 0.00 μB per formula unit


Entry 8:
# GGA-PBE La6Nd12Sm, relaxed
data_La6Nd12Sm
_cell_length_a 9.687
_cell_length_b 9.687
_cell_length_c 9.687
_cell_angle_alpha 109.19
_cell_angle_beta 109.19
_cell_angle_gamma 109.19
_space_group_name_H-M_alt 'P 1'
_space_group_IT_number 1
loop_
_space_group_symop_operation_xyz
'x,y,z'
loop_
_atom_site_label
_atom_site_fract_x
_atom_site_fract_y
_atom_site_fract_z
La1 0.676 0.218 0.676
La2 0.676 0.676 0.218
La3 0.218 0.676 0.676
La4 0.324 0.324 0.782
La5 0.324 0.782 0.324
La6 0.782 0.324 0.324
Nd1 0.892 0.108 0.500
Nd2 0.388 0.184 0.388
Nd3 0.388 0.388 0.184
Nd4 0.816 0.612 0.612
Nd5 0.612 0.612 0.816
Nd6 0.612 0.816 0.612
Nd7 0.500 0.892 0.108
Nd8 0.108 0.500 0.892
Nd9 0.108 0.892 0.500
Nd10 0.500 0.108 0.892
Nd11 0.892 0.500 0.108
Nd12 0.184 0.388 0.388
Sm1 0.000 0.000 0.000
# SG = R-3m, No. 166
# N(E_F) = 1.584 states/eV/atom
# calculated formation energy = 0.369 eV/atom
# theoretical density = 6.375 g cm⁻³
# magnetization = 0.00 μB per formula unit


Entry 9:
# GGA-PBE La5Nd2Sm2, relaxed
data_La5Nd2Sm2
_cell_length_a 11.962
_cell_length_b 7.026
_cell_length_c 10.281
_cell_angle_alpha 109.98
_cell_angle_beta 125.57
_cell_angle_gamma 90.00
_space_group_name_H-M_alt 'P 1'
_space_group_IT_number 1
loop_
_space_group_symop_operation_xyz
'x,y,z'
loop_
_atom_site_label
_atom_site_fract_x
_atom_site_fract_y
_atom_site_fract_z
La1 0.179 0.665 0.896
La2 0.821 0.769 0.104
La3 0.217 0.165 0.896
La4 0.783 0.269 0.104
La5 0.372 0.020 0.288
La6 0.628 0.732 0.712
La7 0.416 0.520 0.288
La8 0.584 0.232 0.712
La9 0.996 0.646 0.500
La10 0.004 0.146 0.500
Nd1 0.135 0.674 0.259
Nd2 0.865 0.415 0.741
Nd3 0.624 0.174 0.259
Nd4 0.376 0.915 0.741
Sm1 0.000 0.069 0.000
Sm2 0.500 0.569 0.000
Sm3 0.255 0.346 0.500
Sm4 0.745 0.846 0.500
# SG = Ima2, No. 46
# N(E_F) = 1.391 states/eV/atom
# calculated formation energy = 0.170 eV/atom
# theoretical density = 6.685 g cm⁻³
# magnetization = 0.00 μB per formula unit


Entry 10:
# GGA-PBE La2Nd2Sm3, relaxed
data_La2Nd2Sm3
_cell_length_a 6.384
_cell_length_b 6.384
_cell_length_c 9.763
_cell_angle_alpha 70.50
_cell_angle_beta 123.44
_cell_angle_gamma 131.90
_space_group_name_H-M_alt 'P 1'
_space_group_IT_number 1
loop_
_space_group_symop_operation_xyz
'x,y,z'
loop_
_atom_site_label
_atom_site_fract_x
_atom_site_fract_y
_atom_site_fract_z
La1 0.144 0.571 0.714
La2 0.856 0.429 0.286
Nd1 0.430 0.714 0.143
Nd2 0.570 0.286 0.857
Sm1 0.000 0.000 0.000
Sm2 0.714 0.856 0.570
Sm3 0.286 0.144 0.430
# SG = C2/m, No. 12
# N(E_F) = 1.800 states/eV/atom
# calculated formation energy = 0.020 eV/atom
# theoretical density = 6.847 g cm⁻³
# magnetization = 0.00 μB per formula unit


Among the records above, which one has the highest calculated formation energy?
La6Nd12Sm